{"formula": "Ca4CuPd3", "functional": "PBE-GGA", "state": "optimized geometry", "cell": [[4.0060, 0.0000, 0.0000], [0.0000, 4.3676, 0.0000], [0.0000, 0.0000, 10.9347]], "species": ["Pd", "Ca", "Pd", "Ca", "Ca", "Cu", "Pd", "Ca"], "fractional_positions": [[0.0000, 0.0000, 0.4193], [0.5000, 0.5000, 0.3640], [0.5000, 0.0000, 0.9349], [0.5000, 0.0000, 0.6393], [0.0000, 0.5000, 0.8554], [0.5000, 0.5000, 0.0659], [0.0000, 0.5000, 0.5793], [0.0000, 0.0000, 0.1419]], "dft_energy_ev_per_atom": -4.027, "volume_a3_per_atom": 23.91, "space_group": "No. 25"}